VASP calculation (PBE) on crystalline NaAc2YTe5 at its relaxed geometry.

## Properties
Magnetization ... 0.0 μB per formula unit
Uncorrected formation energy ... -1.39 eV per atom
Symmetry ... No. 36

a = 4.6254 Å, b = 9.8649 Å, c = 14.0675 Å
α = 90.00°, β = 90.00°, γ = 103.56°
Last column: nearest neighbours and their distance in Å.
Element x y z (fractional)
Te (0.9426, 0.8851, 0.5809)  2 Na 2.85, 1 Y 2.94
Te (0.6368, 0.2736, 0.4976)  1 Y 3.11, 1 Na 3.32
Te (0.3632, 0.7264, 0.9976)  1 Y 3.11, 1 Na 3.32
Te (0.5067, 0.0134, 0.2707)  1 Na 2.86
Te (0.0574, 0.1149, 0.0809)  2 Na 2.85, 1 Y 2.94
Te (0.7214, 0.4429, 0.1601)  2 Y 3.16, 3 Ac 3.38-3.47
Te (0.2786, 0.5571, 0.6601)  2 Y 3.16, 3 Ac 3.38-3.47
Te (0.4933, 0.9866, 0.7707)  1 Na 2.86
Te (0.3106, 0.6212, 0.3554)  2 Y 3.18, 1 Na 3.35, 1 Ac 3.49
Te (0.6894, 0.3788, 0.8554)  2 Y 3.18, 1 Na 3.35, 1 Ac 3.49
Ac (0.1034, 0.2069, 0.6842)  8 Te 3.36-3.72
Ac (0.1335, 0.2670, 0.2998)  8 Te 3.38-3.62
Ac (0.8966, 0.7931, 0.1842)  8 Te 3.36-3.72
Ac (0.8665, 0.7330, 0.7998)  8 Te 3.38-3.62
Y (0.7987, 0.5973, 0.5092)  6 Te 2.94-3.18
Y (0.2013, 0.4027, 0.0092)  6 Te 2.94-3.18
Na (0.4655, 0.9309, 0.4661)  3 Te 2.85-2.86
Na (0.5345, 0.0691, 0.9661)  3 Te 2.85-2.86